Record 1
# Li2OsBr | Alexandria via LeMat-Bulk | PBE-GGA | relaxed
# SG: Fm-3m, No. 225
# calculated total energy: -3.447 eV per atom
# formation energy (no corrections): 0.7358 eV per atom
data_Li2OsBr
_chemical_formula_sum 'Li2 Os1 Br1'
_cell_length_a 4.562
_cell_length_b 4.562
_cell_length_c 4.562
_cell_angle_alpha 60.00
_cell_angle_beta 60.00
_cell_angle_gamma 60.00
_symmetry_space_group_name_H-M 'P 1'
_symmetry_Int_Tables_number 1
_symmetry_space_group_name_Hall 'P 1'
loop_
_atom_site_label
_atom_site_fract_x
_atom_site_fract_y
_atom_site_fract_z
Os1 0.500 0.500 0.500
Li1 0.750 0.750 0.750
Li2 0.250 0.250 0.250
Br1 0.000 0.000 0.000

***

Record 2
# Ac2TmZn3Pt4 | Alexandria via LeMat-Bulk | PBE-GGA | relaxed
# SG: P-4m2, No. 115
# calculated total energy: -4.935 eV per atom
data_Ac2TmZn3Pt4
_chemical_formula_sum 'Ac2 Tm1 Zn3 Pt4'
_cell_length_a 4.311
_cell_length_b 4.311
_cell_length_c 11.657
_cell_angle_alpha 90.00
_cell_angle_beta 90.00
_cell_angle_gamma 90.00
_symmetry_space_group_name_H-M 'P 1'
_symmetry_Int_Tables_number 1
_symmetry_space_group_name_Hall 'P 1'
loop_
_atom_site_label
_atom_site_fract_x
_atom_site_fract_y
_atom_site_fract_z
Pt1 0.000 0.500 0.346
Pt2 0.500 0.500 0.000
Pt3 0.500 0.000 0.654
Pt4 0.000 0.000 0.000
Zn1 0.000 0.000 0.500
Zn2 0.500 0.000 0.878
Zn3 0.000 0.500 0.122
Tm1 0.500 0.500 0.500
Ac1 0.000 0.500 0.772
Ac2 0.500 0.000 0.228

***

Record 3
# PuMnCoSi3 | Alexandria via LeMat-Bulk | PBE-GGA | relaxed
# SG: Cmcm, No. 63
# calculated total energy: -8.059 eV per atom
# formation energy (no corrections): -0.2463 eV per atom
data_PuMnCoSi3
_chemical_formula_sum 'Pu2 Mn2 Co2 Si6'
_cell_length_a 5.449
_cell_length_b 7.052
_cell_length_c 6.267
_cell_angle_alpha 124.24
_cell_angle_beta 90.00
_cell_angle_gamma 90.00
_symmetry_space_group_name_H-M 'P 1'
_symmetry_Int_Tables_number 1
_symmetry_space_group_name_Hall 'P 1'
loop_
_atom_site_label
_atom_site_fract_x
_atom_site_fract_y
_atom_site_fract_z
Si1 0.000 0.250 0.000
Si2 0.000 0.750 0.000
Si3 0.500 0.250 0.000
Si4 0.500 0.750 0.000
Si5 0.250 0.245 0.490
Si6 0.750 0.755 0.510
Pu1 0.250 0.750 0.500
Pu2 0.750 0.250 0.500
Mn1 0.750 0.549 0.098
Mn2 0.250 0.451 0.902
Co1 0.750 0.958 0.917
Co2 0.250 0.042 0.083